# 1
Below is a geometry-optimized Pr7Dy4Y structure, with properties calculated at the PBE level.

Calculated values
Space group: No. 12
Formation energy from the elements, eV/atom: 0.21

a b c (Å): 6.067 9.836 8.697
angles (deg): 61.45 69.59 72.04
Fractional coordinates of all 12 atoms:
Pr: 0.086 0.550 0.277
Pr: 0.212 0.115 0.462
Pr: 0.786 0.241 0.188
Pr: 0.788 0.885 0.538
Pr: 0.914 0.450 0.723
Pr: 0.214 0.759 0.812
Pr: 0.500 0.000 0.000
Dy: 0.570 0.301 0.559
Dy: 0.330 0.380 0.959
Dy: 0.430 0.699 0.441
Dy: 0.670 0.620 0.041
Y: 0.000 0.000 0.000



# 2
Below is a geometry-optimized YNiN2 structure, with properties calculated at the PBE level.

Calculated values
Energy relative to the elements, uncorrected, eV/atom: -0.31
Space group: No. 122

a b c (Å): 4.624 4.624 6.038
angles (deg): 67.49 67.49 90.00
Fractional coordinates of all 8 atoms:
Y: 0.000 0.000 0.000
Y: 0.750 0.250 0.500
N: 0.875 0.804 0.750
N: 0.554 0.125 0.250
N: 0.375 0.446 0.750
N: 0.196 0.625 0.250
Ni: 0.500 0.500 0.000
Ni: 0.250 0.750 0.500



Number 1: spin magnetization 0.132 μB/cell. Number 2: spin magnetization 0.000 μB/cell.